Here is crystalline Th2MnHg at its relaxed geometry from Alexandria via LeMat-Bulk. Energies are from PBE.

Geometry as CIF:
```
data_Th2MnHg
_chemical_formula_sum 'Th2 Mn1 Hg1'
_symmetry_space_group_name_H-M 'P 1'
_symmetry_Int_Tables_number 1
_symmetry_space_group_name_Hall 'P 1'
_cell_length_a 11.244
_cell_length_b 11.244
_cell_length_c 11.244
_cell_angle_alpha 17.06
_cell_angle_beta 17.06
_cell_angle_gamma 17.06
loop_
_atom_site_label
_atom_site_type_symbol
_atom_site_fract_x
_atom_site_fract_y
_atom_site_fract_z
Th1 Th 0.083 0.083 0.083
Th2 Th 0.917 0.917 0.917
Mn1 Mn 0.000 0.000 0.000
Hg1 Hg 0.500 0.500 0.500
```



Here is crystalline Th6Mn2Hg at its relaxed geometry from Alexandria via LeMat-Bulk. Energies are from PBE.

Geometry as CIF:
```
data_Th6Mn2Hg
_chemical_formula_sum 'Th12 Mn4 Hg2'
_symmetry_space_group_name_H-M 'P 1'
_symmetry_Int_Tables_number 1
_symmetry_space_group_name_Hall 'P 1'
_cell_length_a 8.601
_cell_length_b 8.601
_cell_length_c 8.601
_cell_angle_alpha 114.23
_cell_angle_beta 112.21
_cell_angle_gamma 102.22
loop_
_atom_site_label
_atom_site_type_symbol
_atom_site_fract_x
_atom_site_fract_y
_atom_site_fract_z
Th1 Th 0.037 0.241 0.797
Th2 Th 0.190 0.293 0.483
Th3 Th 0.190 0.707 0.896
Th4 Th 0.330 0.021 0.691
Th5 Th 0.330 0.639 0.309
Th6 Th 0.444 0.241 0.203
Th7 Th 0.556 0.759 0.797
Th8 Th 0.670 0.361 0.691
Th9 Th 0.670 0.979 0.309
Th10 Th 0.810 0.293 0.104
Th11 Th 0.810 0.707 0.517
Th12 Th 0.963 0.759 0.203
Mn1 Mn 0.119 0.619 0.500
Mn2 Mn 0.346 0.000 0.346
Mn3 Mn 0.654 0.000 0.654
Mn4 Mn 0.881 0.381 0.500
Hg1 Hg 0.000 0.000 0.000
Hg2 Hg 0.500 0.500 0.000
```



Here is crystalline Ti2MnHg at its relaxed geometry from Alexandria via LeMat-Bulk. Energies are from PBE.

Geometry as CIF:
```
data_Ti2MnHg
_chemical_formula_sum 'Ti2 Mn1 Hg1'
_symmetry_space_group_name_H-M 'P 1'
_symmetry_Int_Tables_number 1
_symmetry_space_group_name_Hall 'P 1'
_cell_length_a 4.345
_cell_length_b 4.345
_cell_length_c 3.548
_cell_angle_alpha 90.00
_cell_angle_beta 90.00
_cell_angle_gamma 90.00
loop_
_atom_site_label
_atom_site_type_symbol
_atom_site_fract_x
_atom_site_fract_y
_atom_site_fract_z
Ti1 Ti 0.000 0.500 0.000
Ti2 Ti 0.500 0.000 0.000
Mn1 Mn 0.000 0.000 0.500
Hg1 Hg 0.500 0.500 0.500
```



no.,energy of formation from the pure elements (meV per atom),theoretical density (g/cm3)
1,456,11.19
2,15,11.69
3,52,8.71